## KBaSe2Br (GGA-PBE)

Data for an optimized crystal structure of KBaSe2Br.

Properties
E: -3.0282 eV per atom
energy above the lowest structure with this stoichiometry: 0.193 eV/atom
uncorrected formation energy: -3.479 eV per formula unit
DOS at the Fermi energy: 4.272 states/eV/cell

a b c (Å): 5.601 5.601 5.920
angles (deg): 90.00 90.00 90.00
Fractional coordinates of all 5 atoms:
K 0.000 0.000 0.000
Se 0.000 0.500 0.000
Se 0.500 0.000 0.000
Ba 0.500 0.500 0.500
Br 0.000 0.000 0.500